# 1
Entry from the Alexandria database: NbSnSb2 after structural relaxation (PBE-GGA).

Values from the calculation:
As for the space group: P4/mmm. The uncorrected formation energy comes out at -0.02 eV per atom. As for the total moment: 0.00 μB/cell.

a = 3.518 Å, b = 3.518 Å, c = 7.703 Å
α = 90.00°, β = 90.00°, γ = 90.00°
Sites, in units of the cell vectors:
Sb (0.000, 0.000, 0.204)
Sb (0.000, 0.000, 0.796)
Nb (0.500, 0.500, 0.000)
Sn (0.500, 0.500, 0.500)

***

# 2
Entry from the Alexandria database: Nb3SnSb after structural relaxation (PBE-GGA).

Values from the calculation:
As for the space group: Pm-3m. The uncorrected formation energy comes out at 1.27 eV per atom. As for the total moment: 0.00 μB/cell.

a = 5.043 Å, b = 5.043 Å, c = 5.043 Å
α = 90.00°, β = 90.00°, γ = 90.00°
Sites, in units of the cell vectors:
Sb (0.000, 0.000, 0.000)
Nb (0.500, 0.000, 0.000)
Nb (0.000, 0.500, 0.000)
Nb (0.000, 0.000, 0.500)
Sn (0.500, 0.500, 0.500)

***

# 3
Entry from the Alexandria database: NbTcSn2Sb after structural relaxation (PBE-GGA).

Values from the calculation:
As for the space group: P4/mmm. The uncorrected formation energy comes out at 0.52 eV per atom. As for the total moment: 0.00 μB/cell.

a = 5.108 Å, b = 4.949 Å, c = 5.108 Å
α = 90.00°, β = 90.00°, γ = 90.00°
Sites, in units of the cell vectors:
Sn (0.500, 0.000, 0.000)
Sn (0.000, 0.000, 0.500)
Tc (0.000, 0.000, 0.000)
Sb (0.500, 0.500, 0.500)
Nb (0.000, 0.500, 0.000)

***

# 4
Entry from the Alexandria database: NbSnSbTe2 after structural relaxation (PBE-GGA).

Values from the calculation:
As for the space group: P4/mmm. The uncorrected formation energy comes out at 0.28 eV per atom. As for the total moment: 0.00 μB/cell.

a = 5.418 Å, b = 5.418 Å, c = 5.453 Å
α = 90.00°, β = 90.00°, γ = 90.00°
Sites, in units of the cell vectors:
Sb (0.000, 0.000, 0.500)
Nb (0.000, 0.000, 0.000)
Sn (0.500, 0.500, 0.500)
Te (0.000, 0.500, 0.000)
Te (0.500, 0.000, 0.000)

***

# 5
Entry from the Alexandria database: NbSnSb2Te after structural relaxation (PBE-GGA).

Values from the calculation:
As for the space group: P4/mmm. The uncorrected formation energy comes out at 0.35 eV per atom. As for the total moment: 0.00 μB/cell.

a = 5.446 Å, b = 5.446 Å, c = 5.336 Å
α = 90.00°, β = 90.00°, γ = 90.00°
Sites, in units of the cell vectors:
Sn (0.500, 0.500, 0.500)
Nb (0.000, 0.000, 0.000)
Sb (0.000, 0.500, 0.000)
Sb (0.500, 0.000, 0.000)
Te (0.000, 0.000, 0.500)

***

# 6
Entry from the Alexandria database: NbSnSbTe2 after structural relaxation (PBE-GGA).

Values from the calculation:
As for the space group: P4/mmm. The uncorrected formation energy comes out at 1.29 eV per atom. As for the total moment: 0.00 μB/cell.

a = 5.522 Å, b = 5.522 Å, c = 5.500 Å
α = 90.00°, β = 90.00°, γ = 90.00°
Sites, in units of the cell vectors:
Nb (0.500, 0.500, 0.500)
Sn (0.000, 0.000, 0.000)
Te (0.000, 0.500, 0.000)
Te (0.500, 0.000, 0.000)
Sb (0.000, 0.000, 0.500)

***

# 7
Entry from the Alexandria database: NbSnSb2Te after structural relaxation (PBE-GGA).

Values from the calculation:
As for the space group: P4/mmm. The uncorrected formation energy comes out at 1.37 eV per atom. As for the total moment: 0.04 μB/cell.

a = 5.487 Å, b = 5.487 Å, c = 5.544 Å
α = 90.00°, β = 90.00°, γ = 90.00°
Site moments in Bohr magnetons follow the coordinates.
Sites, in units of the cell vectors:
Sb (0.500, 0.000, 0.000)  0.01
Sb (0.000, 0.500, 0.000)  0.01
Sn (0.000, 0.000, 0.000)  0.01
Nb (0.500, 0.500, 0.500)  -0.12
Te (0.000, 0.000, 0.500)  0.04

***

# 8
Entry from the Alexandria database: Nb2VSnSb after structural relaxation (PBE-GGA).

Values from the calculation:
As for the space group: P4/mmm. The uncorrected formation energy comes out at 1.47 eV per atom. As for the total moment: 0.00 μB/cell.

a = 5.085 Å, b = 4.776 Å, c = 5.085 Å
α = 90.00°, β = 90.00°, γ = 90.00°
Sites, in units of the cell vectors:
Sb (0.500, 0.500, 0.500)
Sn (0.000, 0.000, 0.000)
Nb (0.500, 0.000, 0.000)
Nb (0.000, 0.000, 0.500)
V (0.000, 0.500, 0.000)

***

# 9
Entry from the Alexandria database: Nb2VSnSb after structural relaxation (PBE-GGA).

Values from the calculation:
As for the space group: P4/mmm. The uncorrected formation energy comes out at 1.87 eV per atom. As for the total moment: 1.26 μB/cell.

a = 5.053 Å, b = 5.468 Å, c = 5.053 Å
α = 90.00°, β = 90.00°, γ = 90.00°
Site moments in Bohr magnetons follow the coordinates.
Sites, in units of the cell vectors:
Nb (0.500, 0.000, 0.000)  0.54
Nb (0.000, 0.000, 0.500)  0.54
Sb (0.000, 0.000, 0.000)  -0.01
V (0.500, 0.500, 0.500)  -0.10
Sn (0.000, 0.500, 0.000)  0.02

***

# 10
Entry from the Alexandria database: NbSnSbW2 after structural relaxation (PBE-GGA).

Values from the calculation:
As for the space group: P4/mmm. The uncorrected formation energy comes out at 1.78 eV per atom. As for the total moment: 0.00 μB/cell.

a = 4.884 Å, b = 5.215 Å, c = 4.884 Å
α = 90.00°, β = 90.00°, γ = 90.00°
Sites, in units of the cell vectors:
W (0.000, 0.000, 0.500)
W (0.500, 0.000, 0.000)
Sb (0.000, 0.500, 0.000)
Sn (0.500, 0.500, 0.500)
Nb (0.000, 0.000, 0.000)

***

# 11
Entry from the Alexandria database: SrNbSb after structural relaxation (PBE-GGA).

Values from the calculation:
As for the space group: P4/nmm. The uncorrected formation energy comes out at -0.47 eV per atom. As for the total moment: 0.89 μB/cell.

a = 4.296 Å, b = 4.296 Å, c = 8.924 Å
α = 90.00°, β = 90.00°, γ = 90.00°
Site moments in Bohr magnetons follow the coordinates.
Sites, in units of the cell vectors:
Nb (0.000, 0.000, 0.500)  0.07
Nb (0.500, 0.500, 0.500)  0.07
Sr (0.000, 0.500, 0.850)  0.08
Sr (0.500, 0.000, 0.150)  0.08
Sb (0.000, 0.500, 0.282)  0.00
Sb (0.500, 0.000, 0.718)  0.00

***

# 12
Entry from the Alexandria database: SrNb2Sb2 after structural relaxation (PBE-GGA).

Values from the calculation:
As for the space group: I4/mmm. The uncorrected formation energy comes out at -0.15 eV per atom. As for the total moment: 0.00 μB/cell.

a = 5.312 Å, b = 5.312 Å, c = 5.985 Å
α = 63.66°, β = 63.66°, γ = 90.00°
Sites, in units of the cell vectors:
Sr (0.000, 0.000, 0.000)
Nb (0.374, 0.374, 0.252)
Nb (0.626, 0.626, 0.748)
Sb (0.750, 0.250, 0.500)
Sb (0.250, 0.750, 0.500)

***

Asked for volume across the records above, the calculation gives 23.83; 25.65; 25.83; 32.02; 31.65; 33.54; 33.38; 24.70; 27.93; 24.88; 27.45; 26.29 Å³ per atom in order.